Entry 1:
Zr2SnAu2: relaxed, PBE.

abc: 4.0327 4.0327 7.4844
angles: 105.63 105.63 90.00
With the nearest neighbours (Å) after each atom.
Sites, in units of the cell vectors:
1 Au 0.7500 0.2500 0.5000  4 Au 2.85, 4 Zr 2.86
2 Au 0.2500 0.7500 0.5000  4 Au 2.85, 4 Zr 2.86
3 Sn 0.0000 0.0000 0.0000  8 Zr 3.19
4 Zr 0.6034 0.6034 0.2068  4 Au 2.86, 1 Zr 2.86, 4 Sn 3.19
5 Zr 0.3966 0.3966 0.7933  4 Au 2.86, 1 Zr 2.86, 4 Sn 3.19

Summary:
Energy, eV for the cell shown: -28.3
Crystal system: tetragonal
Total magnetization, μB/cell: 1.66

Entry 2:
Dy2Y3HoAs2Os: relaxed, PBE.

abc: 4.1503 7.8908 7.8908
angles: 119.88 90.00 90.00
With the nearest neighbours (Å) after each atom.
Sites, in units of the cell vectors:
1 As 0.5000 0.6657 0.3334  1 Ho 3.03, 2 Dy 3.05, 6 Y 3.16-3.18
2 As 0.5000 0.3334 0.6657  1 Ho 3.03, 2 Dy 3.05, 6 Y 3.16-3.18
3 Dy 0.5000 0.7553 0.0000  2 Os 2.84, 2 As 3.05
4 Dy 0.5000 0.0000 0.7553  2 Os 2.84, 2 As 3.05
5 Ho 0.5000 0.2448 0.2448  2 Os 2.83, 2 As 3.03
6 Os 0.0000 0.0017 0.0017  2 Ho 2.83, 4 Dy 2.84
7 Y 0.0000 0.4056 0.0001  4 As 3.17-3.18, 1 Os 3.19, 4 Dy 3.45-3.48, 2 Ho 3.48
8 Y 0.0000 0.0001 0.4056  4 As 3.17-3.18, 1 Os 3.19, 4 Dy 3.45-3.48, 2 Ho 3.48
9 Y 0.0000 0.5933 0.5933  4 As 3.16, 1 Os 3.23, 2 Ho 3.45, 4 Dy 3.49

Summary:
Energy, eV for the cell shown: -60.4
Crystal system: orthorhombic
Total magnetization, μB/cell: 0.15

Entry 3:
KRbW: relaxed, PBE.

abc: 6.0572 6.0572 6.0572
angles: 60.00 60.00 60.00
With the nearest neighbours (Å) after each atom.
Sites, in units of the cell vectors:
1 K 0.0000 0.0000 0.0000  4 W 3.71, 4 Rb 3.71
2 Rb 0.2500 0.2500 0.2500  4 K 3.71
3 W 0.7500 0.7500 0.7500  4 K 3.71

Summary:
Energy, eV for the cell shown: -8.5
Crystal system: cubic
Total magnetization, μB/cell: 5.78

Entry 4:
NdNpH2Cl4: relaxed, PBE.

abc: 3.8760 3.8760 13.3460
angles: 90.00 90.00 120.00
With the nearest neighbours (Å) after each atom.
Sites, in units of the cell vectors:
1 Cl 0.3333 0.6667 0.1349  3 H 2.87, 3 Nd 2.87
2 Cl 0.6667 0.3333 0.3675  3 Np 2.85, 3 H 2.85
3 Cl 0.6667 0.3333 0.6325  3 Np 2.85, 3 H 2.85
4 Cl 0.3333 0.6667 0.8651  3 H 2.87, 3 Nd 2.87
5 H 0.6667 0.3333 0.0000  3 Nd 2.24
6 H 0.3333 0.6667 0.5000  3 Np 2.24
7 Nd 0.0000 0.0000 0.0000  3 H 2.24
8 Np 0.0000 0.0000 0.5000  3 H 2.24

Summary:
Energy, eV for the cell shown: -43.9
Crystal system: hexagonal
Total magnetization, μB/cell: 4.00

Entry 5:
AgAuBr2Cl2: relaxed, PBE.

abc: 7.0572 7.0572 13.6052
angles: 115.94 115.94 35.24
With the nearest neighbours (Å) after each atom.
Sites, in units of the cell vectors:
1 Ag 0.5056 0.4944 0.2500  4 Br 2.83-2.97, 2 Cl 2.83
2 Ag 0.4944 0.5056 0.7500  4 Br 2.83-2.97, 2 Cl 2.83
3 Au 0.0000 0.0000 0.0000  2 Cl 2.33, 2 Br 2.48
4 Au 0.0000 0.0000 0.5000  2 Cl 2.33, 2 Br 2.48
5 Br 0.9114 0.8534 0.0962  1 Au 2.48
6 Br 0.1466 0.0886 0.4038  1 Au 2.48
7 Br 0.8534 0.9114 0.5962  1 Au 2.48
8 Br 0.0886 0.1466 0.9038  1 Au 2.48
9 Cl 0.8226 0.4350 0.1438  1 Au 2.33
10 Cl 0.5650 0.1774 0.3562  1 Au 2.33
11 Cl 0.4350 0.8226 0.6438  1 Au 2.33
12 Cl 0.1774 0.5650 0.8562  1 Au 2.33

Summary:
Energy, eV for the cell shown: -29.7
Crystal system: monoclinic

Entry 6:
Pr2Ni3P5: relaxed, PBE.

abc: 7.9106 7.9106 7.9106
angles: 109.38 88.25 134.32
With the nearest neighbours (Å) after each atom.
Sites, in units of the cell vectors:
1 Ni 0.2500 0.2500 0.0000  6 P 2.36-2.64
2 Ni 0.7500 0.7500 0.0000  6 P 2.36-2.64
3 Ni 0.3660 0.8923 0.2583  5 P 2.31-2.38
4 Ni 0.8660 0.6077 0.4737  5 P 2.31-2.38
5 Ni 0.1340 0.3923 0.5263  5 P 2.31-2.38
6 Ni 0.6340 0.1077 0.7417  5 P 2.31-2.38
7 P 0.3900 0.6414 0.0314  3 Ni 2.31-2.36, 2 P 2.44
8 P 0.4828 0.2500 0.2328  3 Ni 2.37-2.64, 2 P 2.44
9 P 0.9828 0.7500 0.2328  3 Ni 2.37-2.64, 2 P 2.44
10 P 0.1100 0.1414 0.2514  3 Ni 2.31-2.36, 2 P 2.44
11 P 0.7500 0.2500 0.5000  4 Ni 2.38
12 P 0.2500 0.7500 0.5000  4 Ni 2.38
13 P 0.8900 0.8586 0.7486  3 Ni 2.31-2.36, 2 P 2.44
14 P 0.0172 0.2500 0.7672  3 Ni 2.37-2.64, 2 P 2.44
15 P 0.5172 0.7500 0.7672  3 Ni 2.37-2.64, 2 P 2.44
16 P 0.6100 0.3586 0.9686  3 Ni 2.31-2.36, 2 P 2.44
17 Pr 0.8748 0.2624 0.1372  8 P 2.89-3.13, 5 Ni 3.08-3.18
18 Pr 0.6251 0.7624 0.3875  8 P 2.89-3.13, 5 Ni 3.08-3.18
19 Pr 0.3748 0.2376 0.6125  8 P 2.89-3.13, 5 Ni 3.08-3.18
20 Pr 0.1252 0.7376 0.8628  8 P 2.89-3.13, 5 Ni 3.08-3.18

Summary:
Energy, eV for the cell shown: -121.6
Crystal system: orthorhombic
Total magnetization, μB/cell: 0.01

Entry 7:
InFe2B: relaxed, PBE.

abc: 5.8073 5.8073 5.8073
angles: 90.00 90.00 90.00
With the nearest neighbours (Å) after each atom.
Sites, in units of the cell vectors:
1 B 0.5000 0.5000 0.0000  8 Fe 2.40
2 B 0.5000 0.0000 0.5000  8 Fe 2.40
3 B 0.0000 0.5000 0.5000  8 Fe 2.40
4 B 0.5000 0.5000 0.5000  8 Fe 2.08
5 Fe 0.2933 0.2933 0.2933  1 B 2.08
6 Fe 0.7067 0.2933 0.2933  1 B 2.08
7 Fe 0.2933 0.7067 0.2933  1 B 2.08
8 Fe 0.7067 0.7067 0.2933  1 B 2.08
9 Fe 0.2933 0.2933 0.7067  1 B 2.08
10 Fe 0.7067 0.2933 0.7067  1 B 2.08
11 Fe 0.2933 0.7067 0.7067  1 B 2.08
12 Fe 0.7067 0.7067 0.7067  1 B 2.08
13 In 0.0000 0.0000 0.0000  6 In 2.90, 8 Fe 2.95
14 In 0.5000 0.0000 0.0000  8 Fe 2.69, 4 B 2.90, 2 In 2.90
15 In 0.0000 0.5000 0.0000  8 Fe 2.69, 4 B 2.90, 2 In 2.90
16 In 0.0000 0.0000 0.5000  8 Fe 2.69, 2 In 2.90, 4 B 2.90

Summary:
Energy, eV for the cell shown: -98.7
Crystal system: cubic
Total magnetization, μB/cell: 14.76

Entry 8:
CdHgPbS3: relaxed, PBE.

abc: 6.9922 6.9922 11.0690
angles: 90.00 90.00 32.86
With the nearest neighbours (Å) after each atom.
Sites, in units of the cell vectors:
1 Cd 0.0000 0.0000 0.0000  4 S 2.72
2 Cd 0.0000 0.0000 0.5000  4 S 2.72
3 Hg 0.4843 0.4843 0.2500  4 S 2.54-2.61
4 Hg 0.5157 0.5157 0.7500  4 S 2.54-2.61
5 Pb 0.7672 0.7672 0.2500  6 S 2.88-3.17
6 Pb 0.2328 0.2328 0.7500  6 S 2.88-3.17
7 S 0.3715 0.3715 0.0654  1 Hg 2.54, 2 Cd 2.72
8 S 0.1109 0.1109 0.2500  2 Hg 2.61, 2 Pb 2.88
9 S 0.3715 0.3715 0.4346  1 Hg 2.54, 2 Cd 2.72
10 S 0.6285 0.6285 0.5654  1 Hg 2.54, 2 Cd 2.72
11 S 0.8891 0.8891 0.7500  2 Hg 2.61, 2 Pb 2.88
12 S 0.6285 0.6285 0.9346  1 Hg 2.54, 2 Cd 2.72

Summary:
Energy, eV for the cell shown: -37.5
Crystal system: orthorhombic